Here is a relaxed structure of Ta2NbIr from Alexandria via LeMat-Bulk. Energies are from PBE-GGA.

**Density**: 15.6 g cm⁻³
**Offset from the most stable computed form**: 24 kJ/mol of formula units

abc: 3.2865 3.2865 6.3910
angles: 90.00 90.00 90.00
With the nearest neighbours (Å) after each atom.
Space group P4/mmm (No. 123)
Asymmetric unit:
Ta 0.0000 0.0000 0.2464  4 Ir 2.81, 4 Nb 2.83
Nb 0.5000 0.5000 0.5000  8 Ta 2.83
Ir 0.5000 0.5000 0.0000  8 Ta 2.81

***

Here is a relaxed structure of Ta8Nb3Ir from Alexandria via LeMat-Bulk. Energies are from PBE-GGA.

**Density**: 14.3 g cm⁻³

abc: 5.4823 5.4823 8.5860
angles: 90.00 90.00 120.00
With the nearest neighbours (Å) after each atom.
Space group P-3m1 (No. 164)
Asymmetric unit:
Ta 0.1700 0.3400 0.2472  1 Ir 2.67, 4 Ta 2.69-2.80, 1 Nb 2.71
Ta 0.3333 0.6667 0.9420  12 Ta 3.05-3.32, 3 Ir 3.20, 1 Nb 3.27
Nb 0.0000 0.0000 0.5000  6 Ta 2.71
Nb 0.3333 0.6667 0.5611  10 Ta 3.11-3.27, 6 Nb 3.21-3.33
Ir 0.0000 0.0000 0.0000  6 Ta 2.67

***

Here is a relaxed structure of TaNbIr3 from Alexandria via LeMat-Bulk. Energies are from PBE-GGA.

**Density**: 13.5 g cm⁻³
**Offset from the most stable computed form**: 751 kJ/mol of formula units

abc: 4.7162 4.7162 4.7162
angles: 90.00 90.00 90.00
With the nearest neighbours (Å) after each atom.
Space group Pm-3m (No. 221)
Asymmetric unit:
Ta 0.0000 0.0000 0.0000  6 Ir 2.36
Nb 0.5000 0.5000 0.5000  12 Ir 3.33
Ir 0.0000 0.0000 0.5000  2 Ta 2.36

***

Here is a relaxed structure of Ta2NbIr from Alexandria via LeMat-Bulk. Energies are from PBE-GGA.

**Density**: 15.7 g cm⁻³
**Offset from the most stable computed form**: 7 kJ/mol of formula units

abc: 4.5518 4.5518 3.2948
angles: 90.00 90.00 90.00
With the nearest neighbours (Å) after each atom.
Space group P4/mmm (No. 123)
Asymmetric unit:
Ta 0.0000 0.5000 0.0000  4 Ir 2.81, 4 Nb 2.81
Nb 0.0000 0.0000 0.5000  8 Ta 2.81
Ir 0.5000 0.5000 0.5000  8 Ta 2.81

***

Here is a relaxed structure of TaNb3Ir from Alexandria via LeMat-Bulk. Energies are from PBE-GGA.

**Density**: 9.7 g cm⁻³
**Offset from the most stable computed form**: 504 kJ/mol of formula units

abc: 4.8169 4.8169 4.8169
angles: 90.00 90.00 90.00
With the nearest neighbours (Å) after each atom.
Space group Pm-3m (No. 221)
Asymmetric unit:
Ta 0.0000 0.0000 0.0000  12 Nb 3.41
Nb 0.0000 0.5000 0.5000  2 Ir 2.41
Ir 0.5000 0.5000 0.5000  6 Nb 2.41

***

Here is a relaxed structure of TaNb6Ir from Alexandria via LeMat-Bulk. Energies are from PBE-GGA.

**Density**: 11.0 g cm⁻³
**Offset from the most stable computed form**: 0 kJ/mol of formula units

abc: 6.5686 9.2723 4.6176
angles: 90.00 90.00 90.00
With the nearest neighbours (Å) after each atom.
Space group Cmmm (No. 65)
Asymmetric unit:
Ta 0.0000 0.0000 0.0000  8 Nb 2.84
Nb 0.0000 0.2487 0.5000  8 Nb 2.83-2.84
Nb 0.2479 0.5000 0.5000  2 Ir 2.83, 4 Nb 2.84, 2 Ta 2.84
Nb 0.2500 0.2500 0.0000  4 Nb 2.83, 2 Ta 2.84, 2 Ir 2.84
Ir 0.0000 0.5000 0.0000  8 Nb 2.83-2.84

***

Here is a relaxed structure of Ta2NbIr from Alexandria via LeMat-Bulk. Energies are from PBE-GGA.

**Density**: 15.9 g cm⁻³
**Offset from the most stable computed form**: 0 kJ/mol of formula units

abc: 6.4714 6.4714 6.4714
angles: 90.00 90.00 90.00
With the nearest neighbours (Å) after each atom.
Space group Fm-3m (No. 225)
Asymmetric unit:
Ta 0.2500 0.2500 0.2500  4 Nb 2.80, 4 Ir 2.80
Nb 0.0000 0.0000 0.0000  8 Ta 2.80
Ir 0.0000 0.0000 0.5000  8 Ta 2.80

***

Here is a relaxed structure of TaNb2Ir from Alexandria via LeMat-Bulk. Energies are from PBE-GGA.

**Density**: 13.6 g cm⁻³
**Offset from the most stable computed form**: 8 kJ/mol of formula units

abc: 6.4887 6.4887 6.4887
angles: 90.00 90.00 90.00
With the nearest neighbours (Å) after each atom.
Space group Fm-3m (No. 225)
Asymmetric unit:
Ta 0.0000 0.0000 0.0000  8 Nb 2.81
Nb 0.2500 0.2500 0.2500  4 Ta 2.81, 4 Ir 2.81
Ir 0.0000 0.0000 0.5000  8 Nb 2.81

***

Here is a relaxed structure of TaNb2Ir from Alexandria via LeMat-Bulk. Energies are from PBE-GGA.

**Density**: 13.5 g cm⁻³
**Offset from the most stable computed form**: 0 kJ/mol of formula units

abc: 4.5605 4.5605 3.2991
angles: 90.00 90.00 90.00
With the nearest neighbours (Å) after each atom.
Space group P4/mmm (No. 123)
Asymmetric unit:
Ta 0.0000 0.0000 0.0000  8 Nb 2.81
Nb 0.0000 0.5000 0.5000  4 Ir 2.81, 4 Ta 2.81
Ir 0.5000 0.5000 0.0000  8 Nb 2.81

***

Here is a relaxed structure of Ta6Nb2Ir from Alexandria via LeMat-Bulk. Energies are from PBE-GGA.

**Density**: 15.0 g cm⁻³
**Offset from the most stable computed form**: 0 kJ/mol of formula units

abc: 7.1523 14.5567 3.1721
angles: 90.00 101.03 90.00
With the nearest neighbours (Å) after each atom.
Space group C2/m (No. 12)
Asymmetric unit:
Ta 0.1654 0.1635 0.3264  3 Nb 2.78-2.91, 5 Ta 2.79-2.92
Ta 0.1709 0.0000 0.8304  2 Ir 2.75-2.85, 6 Ta 2.85-2.90
Nb 0.0000 0.3384 0.0000  6 Ta 2.78-2.91, 2 Ir 2.84
Ir 0.0000 0.5000 0.5000  4 Ta 2.75-2.85, 4 Nb 2.84

***

Here is a relaxed structure of Ta2NbIr2 from Alexandria via LeMat-Bulk. Energies are from PBE-GGA.

**Density**: 16.1 g cm⁻³
**Offset from the most stable computed form**: 0 kJ/mol of formula units

abc: 7.6304 7.6304 2.9648
angles: 90.00 90.00 90.00
With the nearest neighbours (Å) after each atom.
Space group P4/mbm (No. 127)
Asymmetric unit:
Ta 0.1659 0.3341 0.0000  6 Ir 2.64-2.73
Nb 0.0000 0.0000 0.5000  2 Nb 2.96, 4 Ir 2.98, 8 Ta 3.21
Ir 0.1321 0.6321 0.5000  6 Ta 2.64-2.73, 1 Ir 2.85

***

Here is a relaxed structure of TaNb2Ir from Alexandria via LeMat-Bulk. Energies are from PBE-GGA.

**Density**: 13.3 g cm⁻³
**Offset from the most stable computed form**: 110 kJ/mol of formula units

abc: 2.8655 2.8655 29.4298
angles: 90.00 90.00 120.00
With the nearest neighbours (Å) after each atom.
Space group R-3m (No. 166, hexagonal axes)
Asymmetric unit:
Ta 0.0000 0.0000 0.0000  6 Ta 2.87, 6 Nb 3.08
Nb 0.0000 0.0000 0.2449  3 Ir 2.84, 6 Nb 2.87, 3 Ta 3.08
Ir 0.0000 0.0000 0.5000  6 Nb 2.84, 6 Ir 2.87

***

Quick rundown of energy, same order as above: -10.990, -11.166, -8.284, -11.033, -9.059, -10.351, -11.052, -10.479, -10.499, -11.173, -10.693, -10.214 eV/atom